1.
DFT (PBE) results for an optimized crystal structure of La4Pm5Pr2.

Properties
- excess energy over the best structure of this formula in the dataset (meV per atom) = 148
- space-group type = Immm (71)
- calculated formation energy (meV per atom) = 216
- ρ (g/cm3) = 6.5
- total DFT energy (no corrections) (eV/atom) = -4.6044

abc: 3.591 9.522 12.785
angles: 111.86 98.07 90.00
Atoms (fractional coordinates):
La 0.593 0.593 0.186
La 0.407 0.407 0.814
La 0.000 0.708 0.000
La 0.000 0.292 0.000
Pm 0.853 0.658 0.707
Pm 0.147 0.952 0.293
Pm 0.147 0.342 0.293
Pm 0.853 0.048 0.707
Pm 0.500 0.000 0.000
Pr 0.729 0.729 0.457
Pr 0.271 0.271 0.543

=====

2.
DFT (PBE) results for an optimized crystal structure of La2Pm12Pr.

Properties
- space-group type = P4/nbm (125)
- calculated formation energy (meV per atom) = 288
- ρ (g/cm3) = 6.4
- total DFT energy (no corrections) (eV/atom) = -4.4884

abc: 6.604 6.604 25.555
angles: 90.00 90.00 90.00
Atoms (fractional coordinates):
Pm 0.187 0.687 0.885
Pm 0.313 0.813 0.115
Pm 0.500 0.500 0.216
Pm 0.687 0.187 0.115
Pm 0.500 0.500 0.339
Pm 0.000 0.000 0.784
Pm 0.687 0.813 0.885
Pm 0.813 0.313 0.885
Pm 0.500 0.500 0.661
Pm 0.187 0.313 0.115
Pm 0.168 0.332 0.439
Pm 0.668 0.168 0.439
Pm 0.500 0.500 0.784
Pm 0.000 0.000 0.339
Pm 0.000 0.000 0.661
Pm 0.668 0.832 0.561
Pm 0.168 0.668 0.561
Pm 0.832 0.332 0.561
Pm 0.332 0.832 0.439
Pm 0.332 0.168 0.561
Pm 0.313 0.187 0.885
Pm 0.000 0.000 0.216
Pm 0.832 0.668 0.439
Pm 0.813 0.687 0.115
La 0.000 0.500 0.732
La 0.500 0.000 0.268
La 0.000 0.500 0.268
La 0.500 0.000 0.732
Pr 0.000 0.500 0.000
Pr 0.500 0.000 0.000

=====

3.
DFT (PBE) results for an optimized crystal structure of La7Pm4Pr.

Properties
- excess energy over the best structure of this formula in the dataset (meV per atom) = 171
- space-group type = C2/m (12)
- calculated formation energy (meV per atom) = 182
- ρ (g/cm3) = 6.4
- total DFT energy (no corrections) (eV/atom) = -4.6745

abc: 6.174 9.966 8.873
angles: 60.81 69.64 71.96
Each line ends with the local moment (μB).
Atoms (fractional coordinates):
La 0.790 0.876 0.543  0.00
La 0.210 0.124 0.457  0.00
La 0.917 0.438 0.727  0.00
La 0.208 0.779 0.804  0.01
La 0.083 0.562 0.273  0.00
La 0.500 0.000 0.000  0.15
La 0.792 0.221 0.196  0.01
Pr 0.000 0.000 0.000  0.16
Pm 0.672 0.606 0.051  0.00
Pm 0.328 0.394 0.949  0.00
Pm 0.427 0.698 0.448  0.00
Pm 0.573 0.302 0.552  0.00

=====

4.
DFT (PBE) results for an optimized crystal structure of LaPmPr2.

Properties
- excess energy over the best structure of this formula in the dataset (meV per atom) = 2
- space-group type = P4/mmm (123)
- calculated formation energy (meV per atom) = 14
- ρ (g/cm3) = 6.5
- total DFT energy (no corrections) (eV/atom) = -4.7956

abc: 3.707 3.707 10.506
angles: 90.00 90.00 90.00
Atoms (fractional coordinates):
Pr 0.000 0.000 0.253
Pr 0.000 0.000 0.747
Pm 0.500 0.500 0.500
La 0.500 0.500 0.000

=====

5.
DFT (PBE) results for an optimized crystal structure of La2PmPr3.

Properties
- excess energy over the best structure of this formula in the dataset (meV per atom) = 0
- space-group type = P-3m1 (164)
- calculated formation energy (meV per atom) = 10
- ρ (g/cm3) = 6.5
- total DFT energy (no corrections) (eV/atom) = -4.8141

abc: 9.095 7.423 7.423
angles: 120.00 90.00 90.00
Atoms (fractional coordinates):
Pm 0.666 0.333 0.667
Pm 0.334 0.667 0.333
La 0.000 0.500 0.000
La 0.000 0.000 0.500
La 0.000 0.000 0.000
La 0.000 0.500 0.500
Pr 0.335 0.167 0.334
Pr 0.335 0.666 0.833
Pr 0.665 0.833 0.666
Pr 0.665 0.334 0.167
Pr 0.335 0.167 0.833
Pr 0.665 0.833 0.167

=====

6.
DFT (PBE) results for an optimized crystal structure of LaPm4Pr7.

Properties
- excess energy over the best structure of this formula in the dataset (meV per atom) = 204
- space-group type = C2/m (12)
- calculated formation energy (meV per atom) = 215
- ρ (g/cm3) = 6.4
- total DFT energy (no corrections) (eV/atom) = -4.5669

abc: 6.182 11.961 6.892
angles: 83.00 63.36 75.02
Atoms (fractional coordinates):
Pr 0.631 0.498 0.240
Pr 0.941 0.330 0.787
Pr 0.059 0.670 0.213
Pr 0.209 0.080 0.501
Pr 0.791 0.920 0.499
Pr 0.500 0.000 0.000
Pr 0.369 0.502 0.760
Pm 0.250 0.318 0.182
Pm 0.750 0.682 0.818
Pm 0.364 0.776 0.495
Pm 0.636 0.224 0.505
La 0.000 0.000 0.000